(1)
# BaMo3Cl PBE optimized geometry
data_BaMo3Cl
_cell_length_a 5.4486
_cell_length_b 5.4486
_cell_length_c 5.4486
_cell_angle_alpha 90.00
_cell_angle_beta 90.00
_cell_angle_gamma 90.00
_symmetry_space_group_name_H-M 'P m -3 m'
_symmetry_Int_Tables_number 221
_symmetry_space_group_name_Hall '-P 4 2 3'
loop_
_atom_site_label
_atom_site_type_symbol
_atom_site_fract_x
_atom_site_fract_y
_atom_site_fract_z
_atom_site_occupancy
Ba1 Ba 0.0000 0.0000 0.0000 1
Mo1 Mo 0.0000 0.0000 0.5000 1
Cl1 Cl 0.5000 0.5000 0.5000 1
# - offset from the most stable computed form (meV per atom) = 1827
# - crystal system = cubic

(2)
# Ba2MoCl PBE optimized geometry
data_Ba2MoCl
_cell_length_a 4.8098
_cell_length_b 6.9666
_cell_length_c 9.1043
_cell_angle_alpha 90.00
_cell_angle_beta 90.00
_cell_angle_gamma 90.00
_symmetry_space_group_name_H-M 'I m m m'
_symmetry_Int_Tables_number 71
_symmetry_space_group_name_Hall '-I 2 2'
loop_
_atom_site_label
_atom_site_type_symbol
_atom_site_fract_x
_atom_site_fract_y
_atom_site_fract_z
_atom_site_occupancy
Ba1 Ba 0.0000 0.0000 0.2295 1
Mo1 Mo 0.0000 0.5000 0.0000 1
Cl1 Cl 0.0000 0.5000 0.5000 1
# - offset from the most stable computed form (meV per atom) = 265
# - crystal system = orthorhombic

(3)
# BaMo2Cl PBE optimized geometry
data_BaMo2Cl
_cell_length_a 5.3861
_cell_length_b 12.7567
_cell_length_c 3.0005
_cell_angle_alpha 90.00
_cell_angle_beta 90.00
_cell_angle_gamma 90.00
_symmetry_space_group_name_H-M 'C m m m'
_symmetry_Int_Tables_number 65
_symmetry_space_group_name_Hall '-C 2 2'
loop_
_atom_site_label
_atom_site_type_symbol
_atom_site_fract_x
_atom_site_fract_y
_atom_site_fract_z
_atom_site_occupancy
Ba1 Ba 0.0000 0.0000 0.0000 1
Mo1 Mo 0.2500 0.2500 0.5000 1
Cl1 Cl 0.0000 0.5000 0.0000 1
# - offset from the most stable computed form (meV per atom) = 1074
# - crystal system = orthorhombic

(4)
# BaMo2Cl PBE optimized geometry
data_BaMo2Cl
_cell_length_a 3.4091
_cell_length_b 3.4091
_cell_length_c 8.7455
_cell_angle_alpha 90.00
_cell_angle_beta 90.00
_cell_angle_gamma 90.00
_symmetry_space_group_name_H-M 'P 4 m m'
_symmetry_Int_Tables_number 99
_symmetry_space_group_name_Hall 'P 4 -2'
loop_
_atom_site_label
_atom_site_type_symbol
_atom_site_fract_x
_atom_site_fract_y
_atom_site_fract_z
_atom_site_occupancy
Ba1 Ba 0.0000 0.0000 0.0000 1
Mo1 Mo 0.0000 0.0000 0.5753 1
Mo2 Mo 0.5000 0.5000 0.6860 1
Cl1 Cl 0.5000 0.5000 0.2251 1
# - offset from the most stable computed form (meV per atom) = 74
# - crystal system = tetragonal

(5)
# Ba2MoCl PBE optimized geometry
data_Ba2MoCl
_cell_length_a 4.6267
_cell_length_b 4.6267
_cell_length_c 14.4389
_cell_angle_alpha 90.00
_cell_angle_beta 90.00
_cell_angle_gamma 90.00
_symmetry_space_group_name_H-M 'I -4 m 2'
_symmetry_Int_Tables_number 119
_symmetry_space_group_name_Hall 'I -4 -2'
loop_
_atom_site_label
_atom_site_type_symbol
_atom_site_fract_x
_atom_site_fract_y
_atom_site_fract_z
_atom_site_occupancy
Ba1 Ba 0.0000 0.0000 0.0000 1
Ba2 Ba 0.0000 0.5000 0.2500 1
Mo1 Mo 0.0000 0.0000 0.5000 1
Cl1 Cl 0.0000 0.5000 0.7500 1
# - offset from the most stable computed form (meV per atom) = 281
# - crystal system = tetragonal

(6)
# BaMo2Cl PBE optimized geometry
data_BaMo2Cl
_cell_length_a 4.8335
_cell_length_b 4.8335
_cell_length_c 17.6703
_cell_angle_alpha 90.00
_cell_angle_beta 90.00
_cell_angle_gamma 90.00
_symmetry_space_group_name_H-M 'I -4 2 d'
_symmetry_Int_Tables_number 122
_symmetry_space_group_name_Hall 'I -4 2bw'
loop_
_atom_site_label
_atom_site_type_symbol
_atom_site_fract_x
_atom_site_fract_y
_atom_site_fract_z
_atom_site_occupancy
Ba1 Ba 0.0000 0.0000 0.0000 1
Mo1 Mo 0.0324 0.7500 0.6250 1
Cl1 Cl 0.0000 0.0000 0.5000 1
# - offset from the most stable computed form (meV per atom) = 764
# - crystal system = tetragonal

(7)
# BaMo2Cl PBE optimized geometry
data_BaMo2Cl
_cell_length_a 8.1937
_cell_length_b 3.7412
_cell_length_c 7.5444
_cell_angle_alpha 90.00
_cell_angle_beta 109.09
_cell_angle_gamma 90.00
_symmetry_space_group_name_H-M 'C 1 m 1'
_symmetry_Int_Tables_number 8
_symmetry_space_group_name_Hall 'C -2y'
loop_
_atom_site_label
_atom_site_type_symbol
_atom_site_fract_x
_atom_site_fract_y
_atom_site_fract_z
_atom_site_occupancy
Ba1 Ba 0.0000 0.0000 0.0000 1
Mo1 Mo 0.2818 0.5000 0.3820 1
Mo2 Mo 0.4556 0.0000 0.3886 1
Cl1 Cl 0.2159 0.0000 0.7240 1
# - offset from the most stable computed form (meV per atom) = 257
# - crystal system = monoclinic

(8)
# BaMo2Cl PBE optimized geometry
data_BaMo2Cl
_cell_length_a 7.1248
_cell_length_b 7.1248
_cell_length_c 7.1248
_cell_angle_alpha 90.00
_cell_angle_beta 90.00
_cell_angle_gamma 90.00
_symmetry_space_group_name_H-M 'F -4 3 m'
_symmetry_Int_Tables_number 216
_symmetry_space_group_name_Hall 'F -4 2 3'
loop_
_atom_site_label
_atom_site_type_symbol
_atom_site_fract_x
_atom_site_fract_y
_atom_site_fract_z
_atom_site_occupancy
Ba1 Ba 0.0000 0.0000 0.0000 1
Mo1 Mo 0.0000 0.0000 0.5000 1
Mo2 Mo 0.2500 0.2500 0.7500 1
Cl1 Cl 0.2500 0.2500 0.2500 1
# - offset from the most stable computed form (meV per atom) = 926
# - crystal system = cubic

(9)
# BaMoCl3 PBE optimized geometry
data_BaMoCl3
_cell_length_a 5.0243
_cell_length_b 5.0243
_cell_length_c 5.0243
_cell_angle_alpha 90.00
_cell_angle_beta 90.00
_cell_angle_gamma 90.00
_symmetry_space_group_name_H-M 'P m -3 m'
_symmetry_Int_Tables_number 221
_symmetry_space_group_name_Hall '-P 4 2 3'
loop_
_atom_site_label
_atom_site_type_symbol
_atom_site_fract_x
_atom_site_fract_y
_atom_site_fract_z
_atom_site_occupancy
Ba1 Ba 0.0000 0.0000 0.0000 1
Mo1 Mo 0.5000 0.5000 0.5000 1
Cl1 Cl 0.0000 0.5000 0.5000 1
# - offset from the most stable computed form (meV per atom) = 0
# - crystal system = cubic

(10)
# BaMoCl3 PBE optimized geometry
data_BaMoCl3
_cell_length_a 5.9681
_cell_length_b 5.9681
_cell_length_c 5.9681
_cell_angle_alpha 90.00
_cell_angle_beta 90.00
_cell_angle_gamma 90.00
_symmetry_space_group_name_H-M 'P m -3 m'
_symmetry_Int_Tables_number 221
_symmetry_space_group_name_Hall '-P 4 2 3'
loop_
_atom_site_label
_atom_site_type_symbol
_atom_site_fract_x
_atom_site_fract_y
_atom_site_fract_z
_atom_site_occupancy
Ba1 Ba 0.0000 0.0000 0.0000 1
Mo1 Mo 0.5000 0.5000 0.5000 1
Cl1 Cl 0.0000 0.0000 0.5000 1
# - offset from the most stable computed form (meV per atom) = 359
# - crystal system = cubic

(11)
# BaMo2Cl PBE optimized geometry
data_BaMo2Cl
_cell_length_a 5.4994
_cell_length_b 14.0848
_cell_length_c 3.4197
_cell_angle_alpha 90.00
_cell_angle_beta 127.68
_cell_angle_gamma 90.00
_symmetry_space_group_name_H-M 'C 1 2/m 1'
_symmetry_Int_Tables_number 12
_symmetry_space_group_name_Hall '-C 2y'
loop_
_atom_site_label
_atom_site_type_symbol
_atom_site_fract_x
_atom_site_fract_y
_atom_site_fract_z
_atom_site_occupancy
Ba1 Ba 0.0000 0.0000 0.0000 1
Mo1 Mo 0.2500 0.2500 0.5000 1
Cl1 Cl 0.0000 0.5000 0.0000 1
# - offset from the most stable computed form (meV per atom) = 547
# - crystal system = monoclinic

(12)
# Ba2MoCl PBE optimized geometry
data_Ba2MoCl
_cell_length_a 8.2108
_cell_length_b 8.2108
_cell_length_c 8.2108
_cell_angle_alpha 90.00
_cell_angle_beta 90.00
_cell_angle_gamma 90.00
_symmetry_space_group_name_H-M 'F m -3 m'
_symmetry_Int_Tables_number 225
_symmetry_space_group_name_Hall '-F 4 2 3'
loop_
_atom_site_label
_atom_site_type_symbol
_atom_site_fract_x
_atom_site_fract_y
_atom_site_fract_z
_atom_site_occupancy
Ba1 Ba 0.2500 0.2500 0.2500 1
Mo1 Mo 0.0000 0.0000 0.0000 1
Cl1 Cl 0.0000 0.0000 0.5000 1
# - offset from the most stable computed form (meV per atom) = 283
# - crystal system = cubic

(13)
# BaMo2Cl PBE optimized geometry
data_BaMo2Cl
_cell_length_a 12.8439
_cell_length_b 3.4050
_cell_length_c 4.9383
_cell_angle_alpha 90.00
_cell_angle_beta 109.47
_cell_angle_gamma 90.00
_symmetry_space_group_name_H-M 'C 1 2/m 1'
_symmetry_Int_Tables_number 12
_symmetry_space_group_name_Hall '-C 2y'
loop_
_atom_site_label
_atom_site_type_symbol
_atom_site_fract_x
_atom_site_fract_y
_atom_site_fract_z
_atom_site_occupancy
Ba1 Ba 0.0000 0.0000 0.0000 1
Mo1 Mo 0.2199 0.5000 0.6259 1
Cl1 Cl 0.0000 0.5000 0.5000 1
# - offset from the most stable computed form (meV per atom) = 179
# - crystal system = monoclinic

(14)
# BaMo2Cl PBE optimized geometry
data_BaMo2Cl
_cell_length_a 3.8286
_cell_length_b 3.8286
_cell_length_c 6.8036
_cell_angle_alpha 90.00
_cell_angle_beta 90.00
_cell_angle_gamma 90.00
_symmetry_space_group_name_H-M 'P 4/m m m'
_symmetry_Int_Tables_number 123
_symmetry_space_group_name_Hall '-P 4 2'
loop_
_atom_site_label
_atom_site_type_symbol
_atom_site_fract_x
_atom_site_fract_y
_atom_site_fract_z
_atom_site_occupancy
Ba1 Ba 0.0000 0.0000 0.0000 1
Mo1 Mo 0.5000 0.5000 0.3423 1
Cl1 Cl 0.0000 0.0000 0.5000 1
# - offset from the most stable computed form (meV per atom) = 1111
# - crystal system = tetragonal

(15)
# BaMo2Cl PBE optimized geometry
data_BaMo2Cl
_cell_length_a 3.8962
_cell_length_b 3.8962
_cell_length_c 7.2010
_cell_angle_alpha 90.00
_cell_angle_beta 90.00
_cell_angle_gamma 90.00
_symmetry_space_group_name_H-M 'P 4/m m m'
_symmetry_Int_Tables_number 123
_symmetry_space_group_name_Hall '-P 4 2'
loop_
_atom_site_label
_atom_site_type_symbol
_atom_site_fract_x
_atom_site_fract_y
_atom_site_fract_z
_atom_site_occupancy
Ba1 Ba 0.0000 0.0000 0.0000 1
Mo1 Mo 0.0000 0.5000 0.5000 1
Cl1 Cl 0.5000 0.5000 0.0000 1
# - offset from the most stable computed form (meV per atom) = 595
# - crystal system = tetragonal

(16)
# BaMo2Cl PBE optimized geometry
data_BaMo2Cl
_cell_length_a 3.4274
_cell_length_b 3.3088
_cell_length_c 8.3358
_cell_angle_alpha 90.00
_cell_angle_beta 99.48
_cell_angle_gamma 90.00
_symmetry_space_group_name_H-M 'P 1 m 1'
_symmetry_Int_Tables_number 6
_symmetry_space_group_name_Hall 'P -2y'
loop_
_atom_site_label
_atom_site_type_symbol
_atom_site_fract_x
_atom_site_fract_y
_atom_site_fract_z
_atom_site_occupancy
Ba1 Ba 0.0000 0.0000 0.0000 1
Mo1 Mo 0.2614 0.0000 0.4569 1
Mo2 Mo 0.6497 0.5000 0.3187 1
Cl1 Cl 0.3901 0.5000 0.7297 1
# - offset from the most stable computed form (meV per atom) = 0
# - crystal system = monoclinic

(17)
# Ba2MoCl PBE optimized geometry
data_Ba2MoCl
_cell_length_a 4.2674
_cell_length_b 4.2674
_cell_length_c 27.3160
_cell_angle_alpha 90.00
_cell_angle_beta 90.00
_cell_angle_gamma 120.00
_symmetry_space_group_name_H-M 'R -3 m'
_symmetry_Int_Tables_number 166
_symmetry_space_group_name_Hall '-R 3 2"'
loop_
_atom_site_label
_atom_site_type_symbol
_atom_site_fract_x
_atom_site_fract_y
_atom_site_fract_z
_atom_site_occupancy
Ba1 Ba 0.0000 0.0000 0.2495 1
Mo1 Mo 0.0000 0.0000 0.5000 1
Cl1 Cl 0.0000 0.0000 0.0000 1
# - offset from the most stable computed form (meV per atom) = 19
# - crystal system = trigonal

(18)
# Ba2MoCl PBE optimized geometry
data_Ba2MoCl
_cell_length_a 3.8652
_cell_length_b 4.0010
_cell_length_c 18.0845
_cell_angle_alpha 90.00
_cell_angle_beta 90.00
_cell_angle_gamma 90.00
_symmetry_space_group_name_H-M 'I m m 2'
_symmetry_Int_Tables_number 44
_symmetry_space_group_name_Hall 'I 2 -2'
loop_
_atom_site_label
_atom_site_type_symbol
_atom_site_fract_x
_atom_site_fract_y
_atom_site_fract_z
_atom_site_occupancy
Ba1 Ba 0.0000 0.0000 0.0000 1
Ba2 Ba 0.0000 0.5000 0.2561 1
Mo1 Mo 0.0000 0.5000 0.8615 1
Cl1 Cl 0.0000 0.0000 0.5999 1
# - offset from the most stable computed form (meV per atom) = 61
# - crystal system = orthorhombic

(19)
# BaMo2Cl PBE optimized geometry
data_BaMo2Cl
_cell_length_a 3.0398
_cell_length_b 3.0398
_cell_length_c 30.8486
_cell_angle_alpha 90.00
_cell_angle_beta 90.00
_cell_angle_gamma 120.00
_symmetry_space_group_name_H-M 'R -3 m'
_symmetry_Int_Tables_number 166
_symmetry_space_group_name_Hall '-R 3 2"'
loop_
_atom_site_label
_atom_site_type_symbol
_atom_site_fract_x
_atom_site_fract_y
_atom_site_fract_z
_atom_site_occupancy
Ba1 Ba 0.0000 0.0000 0.0000 1
Mo1 Mo 0.0000 0.0000 0.2320 1
Cl1 Cl 0.0000 0.0000 0.5000 1
# - offset from the most stable computed form (meV per atom) = 1129
# - crystal system = trigonal

(20)
# BaMoCl5 PBE optimized geometry
data_BaMoCl5
_cell_length_a 11.6348
_cell_length_b 8.3297
_cell_length_c 9.7980
_cell_angle_alpha 90.00
_cell_angle_beta 112.66
_cell_angle_gamma 90.00
_symmetry_space_group_name_H-M 'C 1 2/c 1'
_symmetry_Int_Tables_number 15
_symmetry_space_group_name_Hall '-C 2yc'
loop_
_atom_site_label
_atom_site_type_symbol
_atom_site_fract_x
_atom_site_fract_y
_atom_site_fract_z
_atom_site_occupancy
Ba1 Ba 0.0000 0.0475 0.2500 1
Mo1 Mo 0.0000 0.5000 0.0000 1
Cl1 Cl 0.0000 0.4294 0.2500 1
Cl2 Cl 0.0655 0.2184 0.9941 1
Cl3 Cl 0.2148 0.4136 0.6166 1
# - crystal system = monoclinic

Short version: E_form (uncorrected) = 3.18; 0.21; 1.10; 0.10; 0.22; 0.79; 0.28; 0.95; -0.89; -0.53; 0.57; 0.23; 0.20; 1.13; 0.62; 0.02; -0.04; 0.00; 1.15; -1.49 eV per atom, in the order given.